Entry from Alexandria: YNiRh at its PBEsol-relaxed geometry (meta-GGA SCAN).

a = 3.6961 Å, b = 4.0670 Å, c = 4.0670 Å
α = 120.00°, β = 90.00°, γ = 90.00°
Closest atoms and distances in Å follow each position.
Fractional coordinates of all 3 atoms:
Y 0.5000 0.6667 0.3333  6 Rh 2.99, 6 Ni 2.99
Ni 0.0000 0.0000 0.0000  3 Rh 2.35
Rh 0.0000 0.3333 0.6667  3 Ni 2.35

- DOS(E_F): 1.8 states/eV per cell
- Magnetic moment: 0.00 μB per formula unit
- Space group: P-6m2 (187)
- Calculated volume: 53 Å³/cell
- DFT formation energy: -0.59 eV/atom